The following is a DFT calculation (PBE) of an optimized crystal structure of Pm12SmSi7. Values from VASP.

Values from the calculation:
Final energy, eV per atom: -5.3670
Volume, Å³/f.u.: 559
Spin magnetization, μB/f.u.: 0.001
Crystal system: trigonal
Formation energy (no corrections), eV/atom: -0.383
Space group: No. 166

The structure in Quantum ESPRESSO input format:
```
&SYSTEM
  ibrav = 0, nat = 20, ntyp = 3
/
ATOMIC_SPECIES
Pm 145.00 Pm.upf
Sm 150.36 Sm.upf
Si 28.09 Si.upf
CELL_PARAMETERS angstrom
9.099 -0.379 -0.569
-2.894 8.635 -0.569
-2.894 -3.851 7.749
ATOMIC_POSITIONS crystal
Pm 0.000 0.267 0.733
Pm 0.733 0.267 0.000
Pm 0.470 0.167 0.470
Pm 0.833 0.530 0.530
Pm 0.267 0.000 0.733
Pm 0.530 0.530 0.833
Pm 0.470 0.470 0.167
Pm 0.733 0.000 0.267
Pm 0.167 0.470 0.470
Pm 0.530 0.833 0.530
Pm 0.267 0.733 0.000
Pm 0.000 0.733 0.267
Sm 0.000 0.000 0.000
Si 0.868 0.536 0.868
Si 0.464 0.132 0.132
Si 0.132 0.132 0.464
Si 0.500 0.500 0.500
Si 0.868 0.868 0.536
Si 0.536 0.868 0.868
Si 0.132 0.464 0.132
```



The following is a DFT calculation (PBE) of an optimized crystal structure of PuU2Ga. Values from VASP.

Values from the calculation:
Final energy, eV per atom: -9.9808
Volume, Å³/f.u.: 81
Spin magnetization, μB/f.u.: 3.051
Crystal system: tetragonal
DFT formation energy, eV/atom: 0.003
Space group: No. 123

The structure in Quantum ESPRESSO input format:
```
&SYSTEM
  ibrav = 0, nat = 4, ntyp = 3
/
ATOMIC_SPECIES
U 238.03 U.upf
Ga 69.72 Ga.upf
Pu 244.00 Pu.upf
CELL_PARAMETERS angstrom
-2.009 -0.279 3.980
3.614 -1.489 1.720
1.220 3.994 0.896
ATOMIC_POSITIONS crystal
U 0.000 0.000 0.500
U 0.000 0.500 0.000
Ga 0.500 0.500 0.500
Pu 0.500 0.000 0.000
```



The following is a DFT calculation (PBE) of an optimized crystal structure of SrTaSi2. Values from VASP.

Values from the calculation:
Final energy, eV per atom: -5.9113
Volume, Å³/f.u.: 112
Energy above the lowest structure with this stoichiometry, meV per atom: 364
Spin magnetization, μB/f.u.: 0.000
Crystal system: tetragonal
Formation energy (no corrections), eV/atom: 0.184
Space group: No. 122

The structure in Quantum ESPRESSO input format:
```
&SYSTEM
  ibrav = 0, nat = 8, ntyp = 3
/
ATOMIC_SPECIES
Sr 87.62 Sr.upf
Si 28.09 Si.upf
Ta 180.95 Ta.upf
CELL_PARAMETERS angstrom
-2.601 4.457 0.058
-4.324 -2.540 1.221
-1.691 1.886 8.839
ATOMIC_POSITIONS crystal
Sr 0.500 0.500 0.000
Sr 0.250 0.750 0.500
Si 0.874 0.125 0.250
Si 0.876 0.625 0.250
Si 0.375 0.126 0.750
Si 0.875 0.124 0.750
Ta 0.000 0.000 0.000
Ta 0.750 0.250 0.500
```



The following is a DFT calculation (PBE) of an optimized crystal structure of Rb2Ag3Cl5. Values from VASP.

Values from the calculation:
Final energy, eV per atom: -2.9942
Volume, Å³/f.u.: 303
Energy above the lowest structure with this stoichiometry, meV per atom: 22
Spin magnetization, μB/f.u.: 0.000
Crystal system: orthorhombic
Formation energy (no corrections), eV/atom: -1.022
Space group: No. 72

The structure in Quantum ESPRESSO input format:
```
&SYSTEM
  ibrav = 0, nat = 20, ntyp = 3
/
ATOMIC_SPECIES
Rb 85.47 Rb.upf
Ag 107.87 Ag.upf
Cl 35.45 Cl.upf
CELL_PARAMETERS angstrom
-7.179 -1.095 1.693
-1.187 -1.071 10.695
-3.165 7.053 7.561
ATOMIC_POSITIONS crystal
Rb 0.180 0.625 0.015
Rb 0.680 0.015 0.625
Rb 0.820 0.375 0.985
Rb 0.320 0.985 0.375
Ag 0.401 0.515 0.683
Ag 0.901 0.683 0.515
Ag 0.599 0.485 0.317
Ag 0.099 0.317 0.485
Ag 0.250 0.000 0.000
Ag 0.750 0.000 0.000
Cl 0.415 0.202 0.968
Cl 0.915 0.968 0.202
Cl 0.585 0.798 0.032
Cl 0.085 0.032 0.798
Cl 0.548 0.702 0.702
Cl 0.452 0.298 0.298
Cl 0.750 0.500 0.500
Cl 0.250 0.500 0.500
Cl 0.952 0.298 0.298
Cl 0.048 0.702 0.702
```



The following is a DFT calculation (PBE) of an optimized crystal structure of K2LiPuO4. Values from VASP.

Values from the calculation:
Final energy, eV per atom: -6.9722
Volume, Å³/f.u.: 122
Spin magnetization, μB/f.u.: 3.000
Crystal system: monoclinic
Formation energy (no corrections), eV/atom: -2.188
Space group: No. 10

The structure in Quantum ESPRESSO input format:
```
&SYSTEM
  ibrav = 0, nat = 8, ntyp = 4
/
ATOMIC_SPECIES
K 39.10 K.upf
Li 6.94 Li.upf
Pu 244.00 Pu.upf
O 16.00 O.upf
CELL_PARAMETERS angstrom
-0.749 3.352 -0.752
-0.058 -1.238 -5.458
-6.017 -0.888 2.033
ATOMIC_POSITIONS crystal
K 0.500 0.000 0.500
K 0.000 0.500 0.500
Li 0.000 0.000 0.000
Pu 0.500 0.500 0.000
O 0.500 0.276 0.193
O 0.500 0.724 0.807
O 0.000 0.275 0.819
O 0.000 0.725 0.181
```



The following is a DFT calculation (PBE) of an optimized crystal structure of NdHo2In4. Values from VASP.

Values from the calculation:
Final energy, eV per atom: -3.9936
Volume, Å³/f.u.: 194
Energy above the lowest structure with this stoichiometry, meV per atom: 0
Spin magnetization, μB/f.u.: 0.000
Crystal system: tetragonal
DFT formation energy, eV/atom: -0.440
Space group: No. 139

The structure in Quantum ESPRESSO input format:
```
&SYSTEM
  ibrav = 0, nat = 7, ntyp = 3
/
ATOMIC_SPECIES
Nd 144.24 Nd.upf
Ho 164.93 Ho.upf
In 114.82 In.upf
CELL_PARAMETERS angstrom
-0.905 5.758 3.202
-0.357 0.265 6.329
4.900 3.568 1.874
ATOMIC_POSITIONS crystal
Nd 0.000 0.000 0.000
Ho 0.750 0.500 0.500
Ho 0.250 0.500 0.500
In 0.697 0.000 0.605
In 0.303 0.000 0.395
In 0.303 0.395 0.000
In 0.697 0.605 0.000
```



The following is a DFT calculation (PBE) of an optimized crystal structure of KVInCl6. Values from VASP.

Values from the calculation:
Final energy, eV per atom: -4.0181
Volume, Å³/f.u.: 262
Spin magnetization, μB/f.u.: 3.001
Crystal system: trigonal
Formation energy (no corrections), eV/atom: -1.348
Space group: No. 163

The structure in Quantum ESPRESSO input format:
```
&SYSTEM
  ibrav = 0, nat = 18, ntyp = 4
/
ATOMIC_SPECIES
K 39.10 K.upf
V 50.94 V.upf
In 114.82 In.upf
Cl 35.45 Cl.upf
CELL_PARAMETERS angstrom
6.618 0.000 0.000
-3.309 5.731 0.000
0.000 0.000 13.805
ATOMIC_POSITIONS crystal
K 0.000 0.000 0.000
K 0.000 0.000 0.500
V 0.333 0.667 0.250
V 0.667 0.333 0.750
In 0.667 0.333 0.250
In 0.333 0.667 0.750
Cl 0.623 0.636 0.147
Cl 0.013 0.377 0.147
Cl 0.377 0.013 0.647
Cl 0.987 0.623 0.853
Cl 0.364 0.377 0.353
Cl 0.013 0.636 0.353
Cl 0.636 0.013 0.853
Cl 0.623 0.987 0.353
Cl 0.987 0.364 0.647
Cl 0.364 0.987 0.147
Cl 0.636 0.623 0.647
Cl 0.377 0.364 0.853
```



The following is a DFT calculation (PBE) of an optimized crystal structure of Cs2NdBO4. Values from VASP.

Values from the calculation:
Final energy, eV per atom: -6.1217
Volume, Å³/f.u.: 199
Spin magnetization, μB/f.u.: 0.000
Crystal system: orthorhombic
Formation energy (no corrections), eV/atom: -1.999
Space group: No. 70

The structure in Quantum ESPRESSO input format:
```
&SYSTEM
  ibrav = 0, nat = 16, ntyp = 4
/
ATOMIC_SPECIES
Cs 132.91 Cs.upf
Nd 144.24 Nd.upf
B 10.81 B.upf
O 16.00 O.upf
CELL_PARAMETERS angstrom
5.326 0.000 0.000
2.663 5.973 0.000
2.663 0.000 12.488
ATOMIC_POSITIONS crystal
Cs 0.180 0.000 0.640
Cs 0.820 0.000 0.360
Cs 0.570 0.500 0.860
Cs 0.930 0.500 0.140
Nd 0.750 0.500 0.500
Nd 0.000 0.000 0.000
B 0.250 0.500 0.500
B 0.500 0.000 0.000
O 0.381 0.846 0.071
O 0.298 0.154 0.929
O 0.773 0.846 0.929
O 0.548 0.154 0.071
O 0.369 0.654 0.429
O 0.452 0.346 0.571
O 0.977 0.654 0.571
O 0.202 0.346 0.429
```